1.
# NaTa3Ga | Alexandria via LeMat-Bulk | PBE | optimized geometry
# **Size of the total moment**: 0.0 μB/f.u.
# **Fermi-level density of states**: 5.0 states/eV/cell
# **Energy of formation from the pure elements**: 2.195 eV/atom
data_NaTa3Ga
_cell_length_a 4.645
_cell_length_b 4.645
_cell_length_c 4.645
_cell_angle_alpha 90.00
_cell_angle_beta 90.00
_cell_angle_gamma 90.00
_symmetry_space_group_name_H-M 'P 1'
_symmetry_Int_Tables_number 1
_symmetry_space_group_name_Hall 'P 1'
loop_
_atom_site_label
_atom_site_type_symbol
_atom_site_fract_x
_atom_site_fract_y
_atom_site_fract_z
Na1 Na 0.000 0.000 0.000
Ta1 Ta 0.000 0.000 0.500
Ta2 Ta 0.000 0.500 0.000
Ta3 Ta 0.500 0.000 0.000
Ga1 Ga 0.500 0.500 0.500

=====

2.
# NaTa3Ga | Alexandria via LeMat-Bulk | PBE | optimized geometry
# **Size of the total moment**: 0.0 μB/f.u.
# **Fermi-level density of states**: 5.8 states/eV/cell
# **Energy of formation from the pure elements**: 1.434 eV/atom
data_NaTa3Ga
_cell_length_a 4.840
_cell_length_b 4.840
_cell_length_c 4.840
_cell_angle_alpha 90.00
_cell_angle_beta 90.00
_cell_angle_gamma 90.00
_symmetry_space_group_name_H-M 'P 1'
_symmetry_Int_Tables_number 1
_symmetry_space_group_name_Hall 'P 1'
loop_
_atom_site_label
_atom_site_type_symbol
_atom_site_fract_x
_atom_site_fract_y
_atom_site_fract_z
Na1 Na 0.000 0.000 0.000
Ta1 Ta 0.000 0.500 0.500
Ta2 Ta 0.500 0.000 0.500
Ta3 Ta 0.500 0.500 0.000
Ga1 Ga 0.500 0.500 0.500

=====

3.
# NaTa2GaTc | Alexandria via LeMat-Bulk | PBE | optimized geometry
# **Size of the total moment**: 0.0 μB/f.u.
# **Fermi-level density of states**: 4.3 states/eV/cell
# **Energy of formation from the pure elements**: 2.222 eV/atom
data_NaTa2GaTc
_cell_length_a 4.613
_cell_length_b 4.613
_cell_length_c 4.492
_cell_angle_alpha 90.00
_cell_angle_beta 90.00
_cell_angle_gamma 90.00
_symmetry_space_group_name_H-M 'P 1'
_symmetry_Int_Tables_number 1
_symmetry_space_group_name_Hall 'P 1'
loop_
_atom_site_label
_atom_site_type_symbol
_atom_site_fract_x
_atom_site_fract_y
_atom_site_fract_z
Na1 Na 0.000 0.000 0.000
Ta1 Ta 0.000 0.500 0.000
Ta2 Ta 0.500 0.000 0.000
Ga1 Ga 0.500 0.500 0.500
Tc1 Tc 0.000 0.000 0.500

=====

4.
# NaTbGa4 | Alexandria via LeMat-Bulk | PBE | optimized geometry
# **Size of the total moment**: 0.0 μB/f.u.
# **Fermi-level density of states**: 4.1 states/eV/cell
# **Energy of formation from the pure elements**: -0.318 eV/atom
data_NaTbGa4
_cell_length_a 5.545
_cell_length_b 5.545
_cell_length_c 5.545
_cell_angle_alpha 60.00
_cell_angle_beta 60.00
_cell_angle_gamma 60.00
_symmetry_space_group_name_H-M 'P 1'
_symmetry_Int_Tables_number 1
_symmetry_space_group_name_Hall 'P 1'
loop_
_atom_site_label
_atom_site_type_symbol
_atom_site_fract_x
_atom_site_fract_y
_atom_site_fract_z
Na1 Na 0.000 0.000 0.000
Tb1 Tb 0.250 0.250 0.250
Ga1 Ga 0.126 0.625 0.625
Ga2 Ga 0.625 0.126 0.625
Ga3 Ga 0.625 0.625 0.126
Ga4 Ga 0.625 0.625 0.625

=====

5.
# NaTbGa2 | Alexandria via LeMat-Bulk | PBE | optimized geometry
# **Size of the total moment**: 0.0 μB/f.u.
# **Fermi-level density of states**: 1.7 states/eV/cell
# **Energy of formation from the pure elements**: -0.294 eV/atom
data_NaTbGa2
_cell_length_a 5.016
_cell_length_b 5.016
_cell_length_c 5.016
_cell_angle_alpha 60.00
_cell_angle_beta 60.00
_cell_angle_gamma 60.00
_symmetry_space_group_name_H-M 'P 1'
_symmetry_Int_Tables_number 1
_symmetry_space_group_name_Hall 'P 1'
loop_
_atom_site_label
_atom_site_type_symbol
_atom_site_fract_x
_atom_site_fract_y
_atom_site_fract_z
Na1 Na 0.000 0.000 0.000
Tb1 Tb 0.500 0.500 0.500
Ga1 Ga 0.250 0.250 0.250
Ga2 Ga 0.750 0.750 0.750

=====

6.
# NaTbGa2 | Alexandria via LeMat-Bulk | PBE | optimized geometry
# **Size of the total moment**: 0.0 μB/f.u.
# **Fermi-level density of states**: 1.9 states/eV/cell
# **Energy of formation from the pure elements**: -0.312 eV/atom
data_NaTbGa2
_cell_length_a 4.954
_cell_length_b 4.954
_cell_length_c 3.680
_cell_angle_alpha 90.00
_cell_angle_beta 90.00
_cell_angle_gamma 90.00
_symmetry_space_group_name_H-M 'P 1'
_symmetry_Int_Tables_number 1
_symmetry_space_group_name_Hall 'P 1'
loop_
_atom_site_label
_atom_site_type_symbol
_atom_site_fract_x
_atom_site_fract_y
_atom_site_fract_z
Na1 Na 0.000 0.000 0.000
Tb1 Tb 0.500 0.500 0.000
Ga1 Ga 0.000 0.500 0.500
Ga2 Ga 0.500 0.000 0.500

=====

7.
# NaTbGa6 | Alexandria via LeMat-Bulk | PBE | optimized geometry
# **Size of the total moment**: 0.0 μB/f.u.
# **Fermi-level density of states**: 2.4 states/eV/cell
# **Energy of formation from the pure elements**: -0.264 eV/atom
data_NaTbGa6
_cell_length_a 4.388
_cell_length_b 5.952
_cell_length_c 6.207
_cell_angle_alpha 90.00
_cell_angle_beta 90.00
_cell_angle_gamma 90.00
_symmetry_space_group_name_H-M 'P 1'
_symmetry_Int_Tables_number 1
_symmetry_space_group_name_Hall 'P 1'
loop_
_atom_site_label
_atom_site_type_symbol
_atom_site_fract_x
_atom_site_fract_y
_atom_site_fract_z
Na1 Na 0.000 0.000 0.000
Tb1 Tb 0.500 0.500 0.187
Ga1 Ga 0.000 0.264 0.448
Ga2 Ga 0.000 0.500 0.841
Ga3 Ga 0.000 0.736 0.448
Ga4 Ga 0.500 0.000 0.348
Ga5 Ga 0.500 0.236 0.735
Ga6 Ga 0.500 0.764 0.735

=====

8.
# NaTbGa4 | Alexandria via LeMat-Bulk | PBE | optimized geometry
# **Size of the total moment**: 0.0 μB/f.u.
# **Fermi-level density of states**: 1.8 states/eV/cell
# **Energy of formation from the pure elements**: -0.374 eV/atom
data_NaTbGa4
_cell_length_a 5.700
_cell_length_b 5.700
_cell_length_c 5.700
_cell_angle_alpha 134.00
_cell_angle_beta 104.19
_cell_angle_gamma 93.46
_symmetry_space_group_name_H-M 'P 1'
_symmetry_Int_Tables_number 1
_symmetry_space_group_name_Hall 'P 1'
loop_
_atom_site_label
_atom_site_type_symbol
_atom_site_fract_x
_atom_site_fract_y
_atom_site_fract_z
Na1 Na 0.000 0.000 0.000
Tb1 Tb 0.500 0.000 0.500
Ga1 Ga 0.044 0.333 0.711
Ga2 Ga 0.379 0.667 0.711
Ga3 Ga 0.621 0.333 0.289
Ga4 Ga 0.956 0.667 0.289

=====

9.
# Na2TbGaTe4 | Alexandria via LeMat-Bulk | PBE | optimized geometry
# **Formation energy without anion corrections**: -0.834 eV per atom
# **Size of the total moment**: 0.0 μB/f.u.
# **Fermi-level density of states**: 3.7 states/eV/cell
data_Na2TbGaTe4
_cell_length_a 8.861
_cell_length_b 8.861
_cell_length_c 8.481
_cell_angle_alpha 118.52
_cell_angle_beta 118.52
_cell_angle_gamma 91.24
_symmetry_space_group_name_H-M 'P 1'
_symmetry_Int_Tables_number 1
_symmetry_space_group_name_Hall 'P 1'
loop_
_atom_site_label
_atom_site_type_symbol
_atom_site_fract_x
_atom_site_fract_y
_atom_site_fract_z
Na1 Na 0.000 0.000 0.000
Na2 Na 0.000 0.000 0.500
Na3 Na 0.000 0.500 0.000
Na4 Na 0.500 0.000 0.500
Tb1 Tb 0.000 0.500 0.500
Tb2 Tb 0.500 0.000 0.000
Ga1 Ga 0.500 0.500 0.000
Ga2 Ga 0.500 0.500 0.500
Te1 Te 0.254 0.746 0.505
Te2 Te 0.254 0.746 0.995
Te3 Te 0.281 0.288 0.532
Te4 Te 0.288 0.281 0.032
Te5 Te 0.712 0.719 0.968
Te6 Te 0.719 0.712 0.468
Te7 Te 0.746 0.254 0.005
Te8 Te 0.746 0.254 0.495

=====

10.
# NaTbTlGa | Alexandria via LeMat-Bulk | PBE | optimized geometry
# **Size of the total moment**: 0.0 μB/f.u.
# **Fermi-level density of states**: 1.4 states/eV/cell
# **Energy of formation from the pure elements**: -0.244 eV/atom
data_NaTbTlGa
_cell_length_a 5.193
_cell_length_b 5.193
_cell_length_c 5.193
_cell_angle_alpha 60.00
_cell_angle_beta 60.00
_cell_angle_gamma 60.00
_symmetry_space_group_name_H-M 'P 1'
_symmetry_Int_Tables_number 1
_symmetry_space_group_name_Hall 'P 1'
loop_
_atom_site_label
_atom_site_type_symbol
_atom_site_fract_x
_atom_site_fract_y
_atom_site_fract_z
Na1 Na 0.000 0.000 0.000
Tb1 Tb 0.500 0.500 0.500
Tl1 Tl 0.250 0.250 0.250
Ga1 Ga 0.750 0.750 0.750

=====

11.
# NaGaTc3 | Alexandria via LeMat-Bulk | PBE | optimized geometry
# **Size of the total moment**: 5.2 μB/f.u.
# **Fermi-level density of states**: 4.5 states/eV/cell
# **Energy of formation from the pure elements**: 2.385 eV/atom
data_NaGaTc3
_cell_length_a 4.518
_cell_length_b 4.518
_cell_length_c 4.518
_cell_angle_alpha 90.00
_cell_angle_beta 90.00
_cell_angle_gamma 90.00
_symmetry_space_group_name_H-M 'P 1'
_symmetry_Int_Tables_number 1
_symmetry_space_group_name_Hall 'P 1'
loop_
_atom_site_label
_atom_site_type_symbol
_atom_site_fract_x
_atom_site_fract_y
_atom_site_fract_z
Na1 Na 0.000 0.000 0.000
Ga1 Ga 0.500 0.500 0.500
Tc1 Tc 0.000 0.000 0.500
Tc2 Tc 0.000 0.500 0.000
Tc3 Tc 0.500 0.000 0.000

=====

12.
# NaGa2Tc | Alexandria via LeMat-Bulk | PBE | optimized geometry
# **Size of the total moment**: 0.0 μB/f.u.
# **Fermi-level density of states**: 2.5 states/eV/cell
# **Energy of formation from the pure elements**: 0.205 eV/atom
data_NaGa2Tc
_cell_length_a 4.503
_cell_length_b 4.503
_cell_length_c 4.503
_cell_angle_alpha 60.00
_cell_angle_beta 60.00
_cell_angle_gamma 60.00
_symmetry_space_group_name_H-M 'P 1'
_symmetry_Int_Tables_number 1
_symmetry_space_group_name_Hall 'P 1'
loop_
_atom_site_label
_atom_site_type_symbol
_atom_site_fract_x
_atom_site_fract_y
_atom_site_fract_z
Na1 Na 0.000 0.000 0.000
Ga1 Ga 0.250 0.250 0.250
Ga2 Ga 0.750 0.750 0.750
Tc1 Tc 0.500 0.500 0.500

=====

13.
# NaGa2Tc | Alexandria via LeMat-Bulk | PBE | optimized geometry
# **Size of the total moment**: 1.1 μB/f.u.
# **Fermi-level density of states**: 4.3 states/eV/cell
# **Energy of formation from the pure elements**: 0.545 eV/atom
data_NaGa2Tc
_cell_length_a 9.140
_cell_length_b 9.140
_cell_length_c 9.140
_cell_angle_alpha 150.16
_cell_angle_beta 150.16
_cell_angle_gamma 42.71
_symmetry_space_group_name_H-M 'P 1'
_symmetry_Int_Tables_number 1
_symmetry_space_group_name_Hall 'P 1'
loop_
_atom_site_label
_atom_site_type_symbol
_atom_site_fract_x
_atom_site_fract_y
_atom_site_fract_z
Na1 Na 0.000 0.000 0.000
Na2 Na 0.750 0.250 0.500
Ga1 Ga 0.251 0.625 0.126
Ga2 Ga 0.375 0.501 0.626
Ga3 Ga 0.499 0.125 0.874
Ga4 Ga 0.875 0.749 0.374
Tc1 Tc 0.250 0.750 0.500
Tc2 Tc 0.500 0.500 0.000